[1]
Ho2Tm7Sc: optimized geometry, PBE.

a b c (Å): 3.426 14.393 14.393
angles (deg): 154.60 90.00 90.00
Fractional coordinates of all 10 atoms:
Ho  0.500  0.709  0.291
Ho  0.500  0.291  0.709
Tm  0.000  0.815  0.185
Tm  0.000  0.185  0.815
Tm  0.500  0.148  0.341
Tm  0.500  0.852  0.659
Tm  0.500  0.341  0.148
Tm  0.500  0.659  0.852
Tm  0.500  0.500  0.500
Sc  0.000  0.000  0.000

Values from the calculation:
**Energy relative to the elements**: 0.18 eV/atom
**Raw total energy**: -45.009 eV/cell

=====

[2]
Na2HgBi: optimized geometry, PBE.

a b c (Å): 5.988 5.988 5.827
angles (deg): 70.24 130.13 134.57
Fractional coordinates of all 4 atoms:
Na  0.113  0.821  0.934
Na  0.625  0.061  0.686
Hg  0.653  0.564  0.217
Bi  0.108  0.304  0.412

Values from the calculation:
**Energy relative to the elements**: -0.24 eV/atom
**Raw total energy**: -7.800 eV/cell

=====

[3]
TmPuPd2: optimized geometry, PBE.

a b c (Å): 4.108 4.108 6.941
angles (deg): 72.79 72.79 60.00
Each line ends with the local moment (μB).
Fractional coordinates of all 4 atoms:
Tm  0.000  0.000  0.000  -0.02
Pd  0.252  0.252  0.243  -0.03
Pd  0.748  0.748  0.757  -0.03
Pu  0.500  0.500  0.500  5.24

Values from the calculation:
**Energy relative to the elements**: -0.51 eV/atom
**Raw total energy**: -31.211 eV/cell